DFT (GGA-PBE) results for a geometry-optimized CuOsBr4 structure.

Lattice parameters (Å, degrees): 6.135 6.135 6.135 60.00 60.00 60.00
Site moments in Bohr magnetons follow the coordinates.
Element x y z (fractional)
Br 0.374 0.877 0.374  -0.07
Br 0.374 0.374 0.877  -0.07
Br 0.374 0.374 0.374  -0.07
Br 0.877 0.374 0.374  -0.07
Cu 0.750 0.750 0.750  0.01
Os 0.000 0.000 0.000  3.47

- E_form (uncorrected): 171.6 kJ/mol of atoms
- Space-group type: F-43m